Version one
Mg2SiN | GGA-PBE | optimized geometry

CIF file:
```
data_Mg2SiN
_cell_length_a 6.080
_cell_length_b 6.080
_cell_length_c 7.804
_cell_angle_alpha 90.00
_cell_angle_beta 90.00
_cell_angle_gamma 90.00
_symmetry_space_group_name_H-M 'I -4 2 d'
_symmetry_Int_Tables_number 122
_symmetry_space_group_name_Hall 'I -4 2bw'
loop_
_atom_site_label
_atom_site_fract_x
_atom_site_fract_y
_atom_site_fract_z
Mg1 0.135 0.250 0.125
Si1 0.000 0.000 0.500
N1 0.000 0.000 0.000
```

=====

Version two
Mg2SiN | GGA-PBE | optimized geometry

CIF file:
```
data_Mg2SiN
_cell_length_a 6.219
_cell_length_b 6.219
_cell_length_c 6.219
_cell_angle_alpha 90.00
_cell_angle_beta 90.00
_cell_angle_gamma 90.00
_symmetry_space_group_name_H-M 'F m -3 m'
_symmetry_Int_Tables_number 225
_symmetry_space_group_name_Hall '-F 4 2 3'
loop_
_atom_site_label
_atom_site_fract_x
_atom_site_fract_y
_atom_site_fract_z
Mg1 0.250 0.250 0.250
Si1 0.000 0.000 0.000
N1 0.000 0.000 0.500
```

=====

On energetic grounds, version one is preferred over the next structure by 0.571 eV/atom.

=====

Version one
MgSi3N | GGA-PBE | optimized geometry

CIF file:
```
data_MgSi3N
_cell_length_a 4.159
_cell_length_b 4.159
_cell_length_c 4.159
_cell_angle_alpha 90.00
_cell_angle_beta 90.00
_cell_angle_gamma 90.00
_symmetry_space_group_name_H-M 'P m -3 m'
_symmetry_Int_Tables_number 221
_symmetry_space_group_name_Hall '-P 4 2 3'
loop_
_atom_site_label
_atom_site_fract_x
_atom_site_fract_y
_atom_site_fract_z
Mg1 0.000 0.000 0.000
Si1 0.000 0.500 0.500
N1 0.500 0.500 0.500
```

=====

Version two
MgSi3N | GGA-PBE | optimized geometry

CIF file:
```
data_MgSi3N
_cell_length_a 4.786
_cell_length_b 4.786
_cell_length_c 4.786
_cell_angle_alpha 90.00
_cell_angle_beta 90.00
_cell_angle_gamma 90.00
_symmetry_space_group_name_H-M 'P m -3 m'
_symmetry_Int_Tables_number 221
_symmetry_space_group_name_Hall '-P 4 2 3'
loop_
_atom_site_label
_atom_site_fract_x
_atom_site_fract_y
_atom_site_fract_z
Mg1 0.000 0.000 0.000
Si1 0.000 0.000 0.500
N1 0.500 0.500 0.500
```

=====

On energetic grounds, version one is preferred over the next structure by 1.621 eV/atom.